{
  "formula": "Li3SbS3",
  "functional": "PBEsol",
  "state": "optimized geometry",
  "dos_ef_per_ev_atom": 0.000,
  "dft_energy_ev_per_cell": -30.15,
  "raw_formation_energy_ev_per_atom": -0.93,
  "lattice": [[5.256, 3.035, 1.399], [-5.256, 3.035, 1.399], [0.000, -6.070, 1.399]],
  "species": ["Li", "Li", "Li", "Sb", "S", "S", "S"],
  "fractional_positions": [[0.189, 0.189, 0.622], [0.189, 0.622, 0.189], [0.622, 0.189, 0.189], [0.781, 0.781, 0.781], [0.264, 0.618, 0.618], [0.618, 0.264, 0.618], [0.618, 0.618, 0.264]]
}



{
  "formula": "LiSb2S",
  "functional": "PBEsol",
  "state": "optimized geometry",
  "dos_ef_per_ev_atom": 0.834,
  "dft_energy_ev_per_cell": -58.68,
  "raw_formation_energy_ev_per_atom": 0.20,
  "lattice": [[6.046, 0.000, 0.000], [0.000, 6.046, 0.000], [0.000, 0.000, 12.051]],
  "species": ["Li", "Li", "Li", "Li", "Sb", "Sb", "Sb", "Sb", "Sb", "Sb", "Sb", "Sb", "S", "S", "S", "S"],
  "fractional_positions": [[0.000, 0.000, 0.000], [0.000, 0.500, 0.250], [0.500, 0.000, 0.750], [0.500, 0.500, 0.500], [0.242, 0.250, 0.125], [0.250, 0.742, 0.375], [0.250, 0.758, 0.875], [0.258, 0.250, 0.625], [0.742, 0.750, 0.625], [0.750, 0.242, 0.875], [0.750, 0.258, 0.375], [0.758, 0.750, 0.125], [0.000, 0.000, 0.500], [0.000, 0.500, 0.750], [0.500, 0.000, 0.250], [0.500, 0.500, 0.000]]
}